(1)
Pr3CuGeSe7: relaxed, GGA-PBE.

- E (eV/atom) = -5.24

Lattice parameters (Å, degrees): 10.7015 10.7015 6.1751 90.00 90.00 120.00
Last column: nearest neighbours and their distance in Å.
Space group P6_3 (No. 173)
Symmetry-distinct sites (fractional):
Pr 0.1303 0.3554 0.0000 (multiplicity 6)  7 Se 2.97-3.23
Cu 0.0000 0.0000 0.4691 (multiplicity 2)  3 Se 2.40
Ge 0.3333 0.6667 0.5832 (multiplicity 2)  4 Se 2.36-2.40
Se 0.0942 0.2556 0.4811 (multiplicity 6)  1 Cu 2.40
Se 0.0990 0.5800 0.7414 (multiplicity 6)  1 Ge 2.40
Se 0.3333 0.6667 0.2010 (multiplicity 2)  1 Ge 2.36


(2)
PrCuGeTe2Se: relaxed, GGA-PBE.

- E (eV/atom) = -4.43

Lattice parameters (Å, degrees): 4.1318 14.2040 10.9900 90.00 90.00 90.00
Last column: nearest neighbours and their distance in Å.
Space group Cmcm (No. 63)
Symmetry-distinct sites (fractional):
Pr 0.0000 0.0000 0.0000 (multiplicity 4)  2 Se 2.97, 4 Te 3.17
Cu 0.0000 0.4765 0.2500 (multiplicity 4)  2 Se 2.53, 2 Te 2.68
Ge 0.0000 0.2382 0.7500 (multiplicity 4)  4 Te 3.01, 2 Se 3.31
Te 0.0000 0.3419 0.0793 (multiplicity 8)  1 Cu 2.68
Se 0.0000 0.0796 0.2500 (multiplicity 4)  2 Cu 2.53


(3)
PrCu2SiGe: relaxed, GGA-PBE.

- E (eV/atom) = -5.01

Lattice parameters (Å, degrees): 4.1400 4.1400 10.1403 90.00 90.00 90.00
Last column: nearest neighbours and their distance in Å.
Space group I4mm (No. 107)
Symmetry-distinct sites (fractional):
Pr 0.0000 0.0000 0.0000 (multiplicity 2)  4 Ge 3.17, 4 Si 3.19, 8 Cu 3.23-3.32
Cu 0.0000 0.5000 0.2554 (multiplicity 4)  2 Si 2.40, 2 Ge 2.48
Si 0.0000 0.0000 0.3759 (multiplicity 2)  4 Cu 2.40, 1 Ge 2.48
Ge 0.0000 0.0000 0.6203 (multiplicity 2)  1 Si 2.48, 4 Cu 2.48


(4)
Pr3Cu4Sn2Ge2: relaxed, GGA-PBE.

- E (eV/atom) = -4.81

Lattice parameters (Å, degrees): 4.5042 6.8131 14.8739 90.00 90.00 90.00
Last column: nearest neighbours and their distance in Å.
Space group Immm (No. 71)
Symmetry-distinct sites (fractional):
Pr 0.0000 0.0000 0.0000 (multiplicity 2)  4 Ge 3.10, 2 Sn 3.23
Pr 0.0000 0.5000 0.1280 (multiplicity 4)  6 Cu 3.14-3.42, 4 Ge 3.22, 2 Sn 3.22
Cu 0.0000 0.3143 0.3414 (multiplicity 8)  1 Ge 2.51, 1 Cu 2.53, 2 Sn 2.73
Sn 0.0000 0.0000 0.2174 (multiplicity 4)  6 Cu 2.73-2.83
Ge 0.0000 0.1883 0.5000 (multiplicity 4)  2 Cu 2.51, 1 Ge 2.57


(5)
PrCuSn2Ge: relaxed, GGA-PBE.

- E (eV/atom) = -4.65

Lattice parameters (Å, degrees): 4.5397 23.0593 4.4758 90.00 90.00 90.00
Last column: nearest neighbours and their distance in Å.
Space group Cmmm (No. 65)
Symmetry-distinct sites (fractional):
Pr 0.0000 0.1752 0.0000 (multiplicity 4)  6 Ge 3.22-3.38, 4 Cu 3.41, 4 Sn 3.43-3.46
Cu 0.0000 0.3777 0.5000 (multiplicity 4)  1 Ge 2.35
Sn 0.0000 0.0624 0.5000 (multiplicity 4)  2 Cu 2.66, 1 Sn 2.88
Sn 0.0000 0.4379 0.0000 (multiplicity 4)  2 Cu 2.63, 1 Sn 2.86
Ge 0.0000 0.2758 0.5000 (multiplicity 4)  1 Cu 2.35, 2 Ge 2.56


(6)
TbPrCu2Ge2: relaxed, GGA-PBE.

- E (eV/atom) = -5.02

Lattice parameters (Å, degrees): 4.3008 4.3008 7.6304 90.00 90.00 120.00
Last column: nearest neighbours and their distance in Å.
Space group P3m1 (No. 156)
Symmetry-distinct sites (fractional):
Tb 0.0000 0.0000 0.0000 (multiplicity 1)  6 Cu 2.97-3.10, 6 Ge 3.02-3.15
Pr 0.0000 0.0000 0.5018 (multiplicity 1)  6 Ge 3.11-3.26, 6 Cu 3.17-3.30
Cu 0.3333 0.6667 0.7859 (multiplicity 1)  3 Ge 2.50
Cu 0.6667 0.3333 0.2428 (multiplicity 1)  3 Ge 2.49
Ge 0.3333 0.6667 0.2250 (multiplicity 1)  3 Cu 2.49
Ge 0.6667 0.3333 0.7468 (multiplicity 1)  3 Cu 2.50


(7)
Tb2PrCu4Ge4: relaxed, GGA-PBE.

- E (eV/atom) = -4.93

Lattice parameters (Å, degrees): 4.2255 6.7435 14.0794 90.00 90.00 90.00
Last column: nearest neighbours and their distance in Å.
Space group Immm (No. 71)
Symmetry-distinct sites (fractional):
Tb 0.0000 0.0000 0.1309 (multiplicity 4)  6 Ge 2.99-3.07, 6 Cu 3.02-3.10
Pr 0.0000 0.5000 0.0000 (multiplicity 2)  6 Ge 2.99-3.08
Cu 0.0000 0.1886 0.3320 (multiplicity 8)  4 Ge 2.51-2.64, 1 Cu 2.54
Ge 0.0000 0.3135 0.5000 (multiplicity 4)  2 Cu 2.51, 1 Ge 2.51
Ge 0.0000 0.5000 0.2185 (multiplicity 4)  6 Cu 2.57-2.64


(8)
PrCuGeTe3: relaxed, GGA-PBE.

- E (eV/atom) = -4.31

Lattice parameters (Å, degrees): 4.1972 14.2855 11.5730 90.00 90.00 90.00
Last column: nearest neighbours and their distance in Å.
Space group Cmcm (No. 63)
Symmetry-distinct sites (fractional):
Pr 0.0000 0.0000 0.0000 (multiplicity 4)  6 Te 3.18
Cu 0.0000 0.4749 0.2500 (multiplicity 4)  4 Te 2.67-2.69
Ge 0.0000 0.2217 0.7500 (multiplicity 4)  6 Te 3.02-3.38
Te 0.0000 0.0932 0.2500 (multiplicity 4)  2 Cu 2.69
Te 0.0000 0.3466 0.0822 (multiplicity 8)  1 Cu 2.67


(9)
PrYCu2Ge2: relaxed, GGA-PBE.

- E (eV/atom) = -5.33

Lattice parameters (Å, degrees): 4.2451 4.2451 7.7137 90.00 90.00 120.00
Last column: nearest neighbours and their distance in Å.
Space group P-3m1 (No. 164)
Symmetry-distinct sites (fractional):
Pr 0.0000 0.0000 0.0000 (multiplicity 1)  6 Ge 3.17, 6 Cu 3.19
Y 0.0000 0.0000 0.5000 (multiplicity 1)  6 Cu 3.05, 6 Ge 3.07
Cu 0.3333 0.6667 0.7347 (multiplicity 2)  3 Ge 2.45
Ge 0.3333 0.6667 0.2605 (multiplicity 2)  3 Cu 2.45


(10)
PrYCu2Ge4: relaxed, GGA-PBE.

- E (eV/atom) = -5.19

Lattice parameters (Å, degrees): 4.2315 4.2208 17.2118 90.00 90.00 90.00
Last column: nearest neighbours and their distance in Å.
Space group Amm2 (No. 38)
Symmetry-distinct sites (fractional):
Pr 0.0000 0.0000 0.0000 (multiplicity 2)  10 Ge 3.21-3.31, 4 Cu 3.23
Y 0.5000 0.0000 0.7915 (multiplicity 2)  10 Ge 3.19-3.26, 4 Cu 3.22
Cu 0.0000 0.0000 0.2216 (multiplicity 2)  5 Ge 2.32-2.47
Cu 0.5000 0.0000 0.5708 (multiplicity 2)  5 Ge 2.38-2.50
Ge 0.0000 0.0000 0.3567 (multiplicity 2)  1 Cu 2.32, 2 Ge 2.49
Ge 0.0000 0.0000 0.6478 (multiplicity 2)  4 Cu 2.46-2.50
Ge 0.5000 0.0000 0.1473 (multiplicity 2)  4 Cu 2.47-2.49
Ge 0.5000 0.0000 0.4327 (multiplicity 2)  1 Cu 2.38, 2 Ge 2.49


(11)
Pr2YCu4Ge4: relaxed, GGA-PBE.

- E (eV/atom) = -5.09

Lattice parameters (Å, degrees): 4.3415 6.6687 14.2774 90.00 90.00 90.00
Last column: nearest neighbours and their distance in Å.
Space group Immm (No. 71)
Symmetry-distinct sites (fractional):
Pr 0.0000 0.0000 0.1318 (multiplicity 4)  6 Cu 3.05-3.13, 6 Ge 3.09-3.15
Y 0.0000 0.5000 0.0000 (multiplicity 2)  6 Ge 2.98-3.06
Cu 0.0000 0.1869 0.3325 (multiplicity 8)  1 Cu 2.49, 4 Ge 2.52-2.69
Ge 0.0000 0.3054 0.5000 (multiplicity 4)  2 Cu 2.52, 1 Ge 2.60
Ge 0.0000 0.5000 0.2143 (multiplicity 4)  6 Cu 2.59-2.69


(12)
Cu2GePt: relaxed, GGA-PBE.

- E (eV/atom) = -4.65

Lattice parameters (Å, degrees): 6.0645 6.0645 6.0645 90.00 90.00 90.00
Last column: nearest neighbours and their distance in Å.
Space group F-43m (No. 216)
Symmetry-distinct sites (fractional):
Cu 0.0000 0.0000 0.0000 (multiplicity 4)  4 Cu 2.63, 4 Pt 2.63
Cu 0.2500 0.2500 0.2500 (multiplicity 4)  4 Ge 2.63, 4 Cu 2.63
Ge 0.0000 0.0000 0.5000 (multiplicity 4)  4 Pt 2.63, 4 Cu 2.63
Pt 0.2500 0.2500 0.7500 (multiplicity 4)  4 Ge 2.63, 4 Cu 2.63


(13)
CuGePt2: relaxed, GGA-PBE.

- E (eV/atom) = -5.19

Lattice parameters (Å, degrees): 6.2283 6.2283 6.2283 90.00 90.00 90.00
Last column: nearest neighbours and their distance in Å.
Space group F-43m (No. 216)
Symmetry-distinct sites (fractional):
Cu 0.0000 0.0000 0.0000 (multiplicity 4)  4 Ge 2.70, 4 Pt 2.70
Ge 0.2500 0.2500 0.7500 (multiplicity 4)  4 Cu 2.70, 4 Pt 2.70
Pt 0.0000 0.0000 0.5000 (multiplicity 4)  4 Ge 2.70, 4 Pt 2.70
Pt 0.2500 0.2500 0.2500 (multiplicity 4)  4 Cu 2.70, 4 Pt 2.70


(14)
CuGe2Pt: relaxed, GGA-PBE.

- E (eV/atom) = -4.65

Lattice parameters (Å, degrees): 6.3224 6.3224 6.3224 90.00 90.00 90.00
Last column: nearest neighbours and their distance in Å.
Space group F-43m (No. 216)
Symmetry-distinct sites (fractional):
Cu 0.0000 0.0000 0.0000 (multiplicity 4)  4 Ge 2.74, 4 Pt 2.74
Ge 0.0000 0.0000 0.5000 (multiplicity 4)  4 Ge 2.74, 4 Pt 2.74
Ge 0.2500 0.2500 0.2500 (multiplicity 4)  4 Ge 2.74, 4 Cu 2.74
Pt 0.2500 0.2500 0.7500 (multiplicity 4)  4 Cu 2.74, 4 Ge 2.74


(15)
CuReGePt: relaxed, GGA-PBE.

- E (eV/atom) = -6.47
- polymorph energy (0 for the lowest one) (eV/atom) = 0.000

Lattice parameters (Å, degrees): 6.1691 6.1691 6.1691 90.00 90.00 90.00
Last column: nearest neighbours and their distance in Å.
Space group F-43m (No. 216)
Symmetry-distinct sites (fractional):
Cu 0.0000 0.0000 0.0000 (multiplicity 4)  4 Ge 2.67, 4 Pt 2.67
Re 0.0000 0.0000 0.5000 (multiplicity 4)  4 Pt 2.67, 4 Ge 2.67
Ge 0.2500 0.2500 0.7500 (multiplicity 4)  4 Re 2.67, 4 Cu 2.67
Pt 0.2500 0.2500 0.2500 (multiplicity 4)  4 Cu 2.67, 4 Re 2.67


(16)
ScCuGePt: relaxed, GGA-PBE.

- E (eV/atom) = -5.78
- polymorph energy (0 for the lowest one) (eV/atom) = 0.017

Lattice parameters (Å, degrees): 6.3018 6.3018 6.3018 90.00 90.00 90.00
Last column: nearest neighbours and their distance in Å.
Space group F-43m (No. 216)
Symmetry-distinct sites (fractional):
Sc 0.0000 0.0000 0.0000 (multiplicity 4)  4 Ge 2.73, 4 Cu 2.73
Cu 0.2500 0.2500 0.2500 (multiplicity 4)  4 Sc 2.73, 4 Pt 2.73
Ge 0.2500 0.2500 0.7500 (multiplicity 4)  4 Sc 2.73, 4 Pt 2.73
Pt 0.0000 0.0000 0.5000 (multiplicity 4)  4 Ge 2.73, 4 Cu 2.73


(17)
ScCuGePt: relaxed, GGA-PBE.

- E (eV/atom) = -5.79
- polymorph energy (0 for the lowest one) (eV/atom) = 0.000

Lattice parameters (Å, degrees): 6.3416 6.3416 6.3416 90.00 90.00 90.00
Last column: nearest neighbours and their distance in Å.
Space group F-43m (No. 216)
Symmetry-distinct sites (fractional):
Sc 0.0000 0.0000 0.0000 (multiplicity 4)  4 Cu 2.75, 4 Pt 2.75
Cu 0.2500 0.2500 0.2500 (multiplicity 4)  4 Ge 2.75, 4 Sc 2.75
Ge 0.0000 0.0000 0.5000 (multiplicity 4)  4 Cu 2.75, 4 Pt 2.75
Pt 0.2500 0.2500 0.7500 (multiplicity 4)  4 Ge 2.75, 4 Sc 2.75


(18)
ScCuGePt: relaxed, GGA-PBE.

- E (eV/atom) = -5.71
- polymorph energy (0 for the lowest one) (eV/atom) = 0.082

Lattice parameters (Å, degrees): 6.3678 6.3678 6.3678 90.00 90.00 90.00
Last column: nearest neighbours and their distance in Å.
Space group F-43m (No. 216)
Symmetry-distinct sites (fractional):
Sc 0.0000 0.0000 0.0000 (multiplicity 4)  4 Ge 2.76, 4 Pt 2.76
Cu 0.0000 0.0000 0.5000 (multiplicity 4)  4 Ge 2.76, 4 Pt 2.76
Ge 0.2500 0.2500 0.2500 (multiplicity 4)  4 Sc 2.76, 4 Cu 2.76
Pt 0.2500 0.2500 0.7500 (multiplicity 4)  4 Sc 2.76, 4 Cu 2.76


(19)
Cu2SiGePt2: relaxed, GGA-PBE.

- E (eV/atom) = -5.15

Lattice parameters (Å, degrees): 3.6877 3.6877 6.3456 90.00 90.00 90.00
Last column: nearest neighbours and their distance in Å.
Space group P4mm (No. 99)
Symmetry-distinct sites (fractional):
Cu 0.0000 0.5000 0.0000 (multiplicity 2)  2 Si 2.52, 2 Ge 2.59, 4 Cu 2.61, 2 Pt 2.76
Si 0.0000 0.0000 0.7290 (multiplicity 1)  5 Pt 2.37-2.63, 4 Cu 2.52
Ge 0.5000 0.5000 0.2861 (multiplicity 1)  5 Pt 2.48-2.64, 4 Cu 2.59
Pt 0.0000 0.0000 0.3558 (multiplicity 1)  1 Si 2.37, 4 Ge 2.64
Pt 0.5000 0.5000 0.6766 (multiplicity 1)  1 Ge 2.48, 4 Si 2.63, 4 Cu 2.76


(20)
TaCuGePt: relaxed, GGA-PBE.

- E (eV/atom) = -6.57
- polymorph energy (0 for the lowest one) (eV/atom) = 0.142

Lattice parameters (Å, degrees): 6.3226 6.3226 6.3226 90.00 90.00 90.00
Last column: nearest neighbours and their distance in Å.
Space group F-43m (No. 216)
Symmetry-distinct sites (fractional):
Ta 0.0000 0.0000 0.0000 (multiplicity 4)  4 Cu 2.74, 4 Pt 2.74
Cu 0.2500 0.2500 0.7500 (multiplicity 4)  4 Ge 2.74, 4 Ta 2.74
Ge 0.0000 0.0000 0.5000 (multiplicity 4)  4 Pt 2.74, 4 Cu 2.74
Pt 0.2500 0.2500 0.2500 (multiplicity 4)  4 Ge 2.74, 4 Ta 2.74


(21)
TaCuGePt: relaxed, GGA-PBE.

- E (eV/atom) = -6.71
- polymorph energy (0 for the lowest one) (eV/atom) = 0.000

Lattice parameters (Å, degrees): 6.2984 6.2984 6.2984 90.00 90.00 90.00
Last column: nearest neighbours and their distance in Å.
Space group F-43m (No. 216)
Symmetry-distinct sites (fractional):
Ta 0.0000 0.0000 0.0000 (multiplicity 4)  4 Pt 2.73, 4 Ge 2.73
Cu 0.0000 0.0000 0.5000 (multiplicity 4)  4 Ge 2.73, 4 Pt 2.73
Ge 0.2500 0.2500 0.2500 (multiplicity 4)  4 Ta 2.73, 4 Cu 2.73
Pt 0.2500 0.2500 0.7500 (multiplicity 4)  4 Ta 2.73, 4 Cu 2.73


(22)
YCuGePt: relaxed, GGA-PBE.

- E (eV/atom) = -5.77
- polymorph energy (0 for the lowest one) (eV/atom) = 0.001

Lattice parameters (Å, degrees): 6.5905 6.5905 6.5905 90.00 90.00 90.00
Last column: nearest neighbours and their distance in Å.
Space group F-43m (No. 216)
Symmetry-distinct sites (fractional):
Y 0.0000 0.0000 0.0000 (multiplicity 4)  4 Cu 2.85, 4 Pt 2.85
Cu 0.2500 0.2500 0.2500 (multiplicity 4)  4 Ge 2.85, 4 Y 2.85
Ge 0.0000 0.0000 0.5000 (multiplicity 4)  4 Cu 2.85, 4 Pt 2.85
Pt 0.2500 0.2500 0.7500 (multiplicity 4)  4 Ge 2.85, 4 Y 2.85


(23)
YCuGePt: relaxed, GGA-PBE.

- E (eV/atom) = -5.77
- polymorph energy (0 for the lowest one) (eV/atom) = 0.000

Lattice parameters (Å, degrees): 6.5183 6.5183 6.5183 90.00 90.00 90.00
Last column: nearest neighbours and their distance in Å.
Space group F-43m (No. 216)
Symmetry-distinct sites (fractional):
Y 0.0000 0.0000 0.0000 (multiplicity 4)  4 Cu 2.82, 4 Ge 2.82
Cu 0.2500 0.2500 0.2500 (multiplicity 4)  4 Pt 2.82, 4 Y 2.82
Ge 0.2500 0.2500 0.7500 (multiplicity 4)  4 Y 2.82, 4 Pt 2.82
Pt 0.0000 0.0000 0.5000 (multiplicity 4)  4 Ge 2.82, 4 Cu 2.82


(24)
YCuGePt: relaxed, GGA-PBE.

- E (eV/atom) = -5.68
- polymorph energy (0 for the lowest one) (eV/atom) = 0.096

Lattice parameters (Å, degrees): 6.6244 6.6244 6.6244 90.00 90.00 90.00
Last column: nearest neighbours and their distance in Å.
Space group F-43m (No. 216)
Symmetry-distinct sites (fractional):
Y 0.0000 0.0000 0.0000 (multiplicity 4)  4 Pt 2.87, 4 Ge 2.87
Cu 0.0000 0.0000 0.5000 (multiplicity 4)  4 Ge 2.87, 4 Pt 2.87
Ge 0.2500 0.2500 0.2500 (multiplicity 4)  4 Y 2.87, 4 Cu 2.87
Pt 0.2500 0.2500 0.7500 (multiplicity 4)  4 Cu 2.87, 4 Y 2.87


(25)
ZnCuGePt: relaxed, GGA-PBE.

- E (eV/atom) = -4.10
- polymorph energy (0 for the lowest one) (eV/atom) = 0.000

Lattice parameters (Å, degrees): 6.1742 6.1742 6.1742 90.00 90.00 90.00
Last column: nearest neighbours and their distance in Å.
Space group F-43m (No. 216)
Symmetry-distinct sites (fractional):
Zn 0.0000 0.0000 0.0000 (multiplicity 4)  4 Cu 2.67, 4 Pt 2.67
Cu 0.2500 0.2500 0.7500 (multiplicity 4)  4 Ge 2.67, 4 Zn 2.67
Ge 0.0000 0.0000 0.5000 (multiplicity 4)  4 Pt 2.67, 4 Cu 2.67
Pt 0.2500 0.2500 0.2500 (multiplicity 4)  4 Zn 2.67, 4 Ge 2.67


(26)
ZnCuGePt: relaxed, GGA-PBE.

- E (eV/atom) = -3.98
- polymorph energy (0 for the lowest one) (eV/atom) = 0.123

Lattice parameters (Å, degrees): 6.2132 6.2132 6.2132 90.00 90.00 90.00
Last column: nearest neighbours and their distance in Å.
Space group F-43m (No. 216)
Symmetry-distinct sites (fractional):
Zn 0.0000 0.0000 0.0000 (multiplicity 4)  4 Ge 2.69, 4 Pt 2.69
Cu 0.0000 0.0000 0.5000 (multiplicity 4)  4 Ge 2.69, 4 Pt 2.69
Ge 0.2500 0.2500 0.2500 (multiplicity 4)  4 Cu 2.69, 4 Zn 2.69
Pt 0.2500 0.2500 0.7500 (multiplicity 4)  4 Cu 2.69, 4 Zn 2.69